(1)
The following is a PBE calculation of a relaxed NaSm4Th3Se8 crystal, from the Alexandria database.

Results
- Total energy: -6.064 eV per atom
- Space group: R-3m

Structure (POSCAR):
```
NaSm4Th3Se8
1.0
4.184 2.416 6.838
-4.184 2.416 6.838
0.000 -4.832 6.838
Na Sm Th Se
1 4 3 8
direct
0.000 0.000 0.000 Na
0.000 0.000 0.500 Sm
0.000 0.500 0.000 Sm
0.500 0.000 0.000 Sm
0.500 0.500 0.500 Sm
0.000 0.500 0.500 Th
0.500 0.000 0.500 Th
0.500 0.500 0.000 Th
0.245 0.753 0.753 Se
0.247 0.247 0.755 Se
0.247 0.755 0.247 Se
0.248 0.248 0.248 Se
0.752 0.752 0.752 Se
0.753 0.245 0.753 Se
0.753 0.753 0.245 Se
0.755 0.247 0.247 Se
```



(2)
The following is a PBE calculation of a relaxed AcGa4PdPt2 crystal, from the Alexandria database.

Results
- Total energy: -4.889 eV per atom
- Space group: R-3m

Structure (POSCAR):
```
AcGa4PdPt2
1.0
2.180 1.258 9.255
-2.180 1.258 9.255
0.000 -2.517 9.255
Ac Ga Pd Pt
1 4 1 2
direct
0.000 0.000 0.000 Ac
0.133 0.133 0.133 Ga
0.405 0.405 0.405 Ga
0.595 0.595 0.595 Ga
0.867 0.867 0.867 Ga
0.500 0.500 0.500 Pd
0.233 0.233 0.233 Pt
0.767 0.767 0.767 Pt
```



Let's list calculated volume in order: 25.92 19.04 A^3/atom.